Entry 1:
Below is TeAuCl7 after structural relaxation, with properties calculated at the PBE level.

a b c (Å): 7.9785 8.8254 9.2541
angles (deg): 80.76 82.39 89.01
Closest atoms and distances in Å follow each position.
Fractional coordinates of all 18 atoms:
Te (0.2167, 0.2590, 0.2715)  3 Cl 2.35-2.36
Te (0.7833, 0.7410, 0.7285)  3 Cl 2.35-2.36
Au (0.4187, 0.6853, 0.0719)  4 Cl 2.31-2.33
Au (0.5813, 0.3147, 0.9281)  4 Cl 2.31-2.33
Cl (0.0523, 0.6656, 0.6264)  1 Te 2.36
Cl (0.1238, 0.0114, 0.2554)  1 Te 2.35
Cl (0.1370, 0.6326, 0.0686)  1 Au 2.31
Cl (0.2955, 0.2677, 0.9256)  1 Au 2.33
Cl (0.3090, 0.1811, 0.5029)  1 Te 2.35
Cl (0.3995, 0.5442, 0.3076)  1 Au 2.32
Cl (0.4383, 0.8255, 0.8349)  1 Au 2.33
Cl (0.5617, 0.1745, 0.1651)  1 Au 2.33
Cl (0.6005, 0.4558, 0.6924)  1 Au 2.32
Cl (0.6910, 0.8189, 0.4971)  1 Te 2.35
Cl (0.7045, 0.7323, 0.0744)  1 Au 2.33
Cl (0.8630, 0.3674, 0.9314)  1 Au 2.31
Cl (0.8762, 0.9886, 0.7446)  1 Te 2.35
Cl (0.9477, 0.3344, 0.3736)  1 Te 2.36

Properties
- Formation energy without anion corrections: -0.46 eV per atom



Entry 2:
Below is LaY3As after structural relaxation, with properties calculated at the PBE level.

a b c (Å): 5.5310 5.5310 5.5310
angles (deg): 90.00 90.00 90.00
Closest atoms and distances in Å follow each position.
Fractional coordinates of all 5 atoms:
La (0.0000, 0.0000, 0.0000)  12 Y 3.91
Y (0.0000, 0.5000, 0.5000)  2 As 2.77
Y (0.5000, 0.0000, 0.5000)  2 As 2.77
Y (0.5000, 0.5000, 0.0000)  2 As 2.77
As (0.5000, 0.5000, 0.5000)  6 Y 2.77

Properties
- DOS at the Fermi energy: 1.824 states/eV/atom
- Formation enthalpy at 0 K: -0.3515 eV/atom
- Energy above the most stable polymorph in this dataset: 0.000 eV/atom



Entry 3:
Below is Ta2OsPt after structural relaxation, with properties calculated at the PBE level.

a b c (Å): 4.8136 4.8136 2.9427
angles (deg): 90.00 90.00 106.19
Closest atoms and distances in Å follow each position.
Fractional coordinates of all 4 atoms:
Ta (0.0000, 0.5000, 0.0000)  4 Pt 2.82, 4 Os 2.82, 4 Ta 2.89-2.94
Ta (0.5000, 0.0000, 0.0000)  4 Pt 2.82, 4 Os 2.82, 4 Ta 2.89-2.94
Os (0.0000, 0.0000, 0.5000)  8 Ta 2.82, 2 Pt 2.89, 2 Os 2.94
Pt (0.5000, 0.5000, 0.5000)  8 Ta 2.82, 2 Os 2.89, 2 Pt 2.94

Properties
- DOS at the Fermi energy: 0.724 states/eV/atom
- Formation enthalpy at 0 K: -0.4176 eV/atom



Entry 4:
Below is SrLa2Tl2 after structural relaxation, with properties calculated at the PBE level.

a b c (Å): 9.5543 9.5543 3.7263
angles (deg): 90.00 90.00 90.00
Closest atoms and distances in Å follow each position.
Fractional coordinates of all 10 atoms:
Sr (0.0000, 0.0000, 0.0000)  2 Sr 3.73, 4 La 3.83, 8 Tl 3.97
Sr (0.5000, 0.5000, 0.0000)  2 Sr 3.73, 4 La 3.83, 8 Tl 3.97
La (0.1170, 0.3830, 0.0000)  1 La 3.16, 6 Tl 3.32-3.45
La (0.3830, 0.8830, 0.0000)  1 La 3.16, 6 Tl 3.32-3.45
La (0.6170, 0.1170, 0.0000)  1 La 3.16, 6 Tl 3.32-3.45
La (0.8830, 0.6170, 0.0000)  1 La 3.16, 6 Tl 3.32-3.45
Tl (0.1799, 0.6799, 0.5000)  6 La 3.32-3.45
Tl (0.3201, 0.1799, 0.5000)  6 La 3.32-3.45
Tl (0.6799, 0.8201, 0.5000)  6 La 3.32-3.45
Tl (0.8201, 0.3201, 0.5000)  6 La 3.32-3.45

Properties
- DOS at the Fermi energy: 1.340 states/eV/atom
- Formation enthalpy at 0 K: -0.2850 eV/atom
- Energy above the most stable polymorph in this dataset: 0.039 eV/atom



Entry 5:
Below is CuNiSn2Ru after structural relaxation, with properties calculated at the PBE level.

a b c (Å): 4.7277 4.7277 4.4213
angles (deg): 90.00 90.00 90.00
Closest atoms and distances in Å follow each position.
Fractional coordinates of all 5 atoms:
Cu (0.0000, 0.0000, 0.0000)  2 Ni 2.21
Ni (0.0000, 0.0000, 0.5000)  2 Cu 2.21, 4 Sn 2.36
Sn (0.0000, 0.5000, 0.5000)  2 Ni 2.36
Sn (0.5000, 0.0000, 0.5000)  2 Ni 2.36
Ru (0.5000, 0.5000, 0.0000)  8 Sn 3.24, 4 Cu 3.34

Properties
- DOS at the Fermi energy: 0.936 states/eV/atom
- Formation enthalpy at 0 K: 0.7411 eV/atom



Entry 6:
Below is BaMgCr2 after structural relaxation, with properties calculated at the PBE level.

a b c (Å): 5.1978 5.1978 6.4211
angles (deg): 107.66 107.66 37.21
Closest atoms and distances in Å follow each position.
Fractional coordinates of all 4 atoms:
Ba (0.0000, 0.0000, 0.0000)  2 Ba 3.32, 4 Cr 3.42, 4 Mg 3.61
Mg (0.5000, 0.5000, 0.5000)  6 Cr 2.78-2.84
Cr (0.2391, 0.2391, 0.6003)  2 Cr 2.15
Cr (0.7609, 0.7609, 0.3997)  2 Cr 2.15

Properties
- DOS at the Fermi energy: 1.113 states/eV/atom
- Formation enthalpy at 0 K: 0.8364 eV/atom



Entry 7:
Below is DyBi2F11 after structural relaxation, with properties calculated at the PBE level.

a b c (Å): 8.5616 8.5616 8.5616
angles (deg): 122.56 105.98 100.75
Closest atoms and distances in Å follow each position.
Fractional coordinates of all 28 atoms:
Dy (0.2500, 0.2500, 0.0000)  8 F 2.29-2.31
Dy (0.7500, 0.7500, 0.0000)  8 F 2.29-2.31
Bi (0.1815, 0.6456, 0.8271)  7 F 2.13-2.30
Bi (0.3185, 0.1456, 0.4640)  7 F 2.13-2.30
Bi (0.6815, 0.8544, 0.5360)  7 F 2.13-2.30
Bi (0.8185, 0.3544, 0.1729)  7 F 2.13-2.30
F (0.0000, 0.5000, 0.5000)  2 Bi 2.22, 2 F 2.45
F (0.0335, 0.9544, 0.2758)  1 Bi 2.18, 1 Dy 2.31
F (0.0656, 0.3526, 0.1468)  1 Bi 2.19, 1 Dy 2.29
F (0.1787, 0.4544, 0.9209)  1 Bi 2.18, 1 Dy 2.31
F (0.2058, 0.9188, 0.8532)  1 Bi 2.19, 1 Dy 2.29
F (0.2135, 0.3690, 0.5825)  2 Bi 2.13-2.30
F (0.2865, 0.8690, 0.1554)  2 Bi 2.13-2.30
F (0.2942, 0.1474, 0.7130)  1 Bi 2.19, 1 Dy 2.29
F (0.3213, 0.2423, 0.2758)  1 Bi 2.18, 1 Dy 2.31
F (0.4344, 0.5812, 0.2870)  1 Bi 2.19, 1 Dy 2.29
F (0.4665, 0.7423, 0.9209)  1 Bi 2.18, 1 Dy 2.31
F (0.5000, 0.0000, 0.5000)  2 Bi 2.22, 2 F 2.45
F (0.5335, 0.2577, 0.0791)  1 Bi 2.18, 1 Dy 2.31
F (0.5656, 0.4188, 0.7130)  1 Bi 2.19, 1 Dy 2.29
F (0.6787, 0.7577, 0.7242)  1 Bi 2.18, 1 Dy 2.31
F (0.7058, 0.8526, 0.2870)  1 Bi 2.19, 1 Dy 2.29
F (0.7135, 0.1310, 0.8446)  2 Bi 2.13-2.30
F (0.7865, 0.6310, 0.4175)  2 Bi 2.13-2.30
F (0.7942, 0.0812, 0.1468)  1 Bi 2.19, 1 Dy 2.29
F (0.8213, 0.5456, 0.0791)  1 Bi 2.18, 1 Dy 2.31
F (0.9344, 0.6474, 0.8532)  1 Bi 2.19, 1 Dy 2.29
F (0.9665, 0.0456, 0.7242)  1 Bi 2.18, 1 Dy 2.31

Properties
- Formation energy without anion corrections: -2.63 eV per atom
- DOS at the Fermi energy: 0.094 states/eV/atom



Entry 8:
Below is Nb5Fe12Os3 after structural relaxation, with properties calculated at the PBE level.

a b c (Å): 12.0572 12.0572 12.0572
angles (deg): 109.47 109.47 109.47
Closest atoms and distances in Å follow each position.
Fractional coordinates of all 80 atoms:
Nb (0.0000, 0.0000, 0.0000)  6 Fe 2.44
Nb (0.0000, 0.0000, 0.5000)  6 Fe 2.44
Nb (0.0000, 0.5000, 0.0000)  6 Fe 2.44
Nb (0.0000, 0.5000, 0.5000)  6 Fe 2.44
Nb (0.1250, 0.7500, 0.8750)  4 Fe 2.42
Nb (0.1250, 0.8750, 0.2500)  4 Fe 2.42
Nb (0.2500, 0.1250, 0.8750)  4 Fe 2.42
Nb (0.2500, 0.6250, 0.3750)  4 Fe 2.42
Nb (0.3750, 0.2500, 0.6250)  4 Fe 2.42
Nb (0.3750, 0.6250, 0.7500)  4 Fe 2.42
Nb (0.5000, 0.0000, 0.0000)  6 Fe 2.44
Nb (0.5000, 0.0000, 0.5000)  6 Fe 2.44
Nb (0.5000, 0.5000, 0.0000)  6 Fe 2.44
Nb (0.5000, 0.5000, 0.5000)  6 Fe 2.44
Nb (0.6250, 0.3750, 0.2500)  4 Fe 2.42
Nb (0.6250, 0.7500, 0.3750)  4 Fe 2.42
Nb (0.7500, 0.3750, 0.6250)  4 Fe 2.42
Nb (0.7500, 0.8750, 0.1250)  4 Fe 2.42
Nb (0.8750, 0.1250, 0.7500)  4 Fe 2.42
Nb (0.8750, 0.2500, 0.1250)  4 Fe 2.42
Fe (0.0717, 0.6490, 0.4121)  1 Fe 2.31, 2 Os 2.37-2.53, 2 Nb 2.42-2.44
Fe (0.0717, 0.9227, 0.6596)  1 Fe 2.31, 2 Os 2.37-2.53, 2 Nb 2.42-2.44
Fe (0.0773, 0.2368, 0.1490)  1 Fe 2.31, 2 Os 2.37-2.53, 2 Nb 2.42-2.44
Fe (0.0773, 0.3404, 0.9283)  1 Fe 2.31, 2 Os 2.37-2.53, 2 Nb 2.42-2.44
Fe (0.0879, 0.7368, 0.6596)  1 Fe 2.31, 2 Os 2.37-2.53, 2 Nb 2.42-2.44
Fe (0.0879, 0.8510, 0.4283)  1 Fe 2.31, 2 Os 2.37-2.53, 2 Nb 2.42-2.44
Fe (0.1490, 0.0773, 0.2368)  1 Fe 2.31, 2 Os 2.37-2.53, 2 Nb 2.42-2.44
Fe (0.1490, 0.5717, 0.9121)  1 Fe 2.31, 2 Os 2.37-2.53, 2 Nb 2.42-2.44
Fe (0.1596, 0.2368, 0.5879)  1 Fe 2.31, 2 Os 2.37-2.53, 2 Nb 2.42-2.44
Fe (0.1596, 0.4227, 0.5717)  1 Fe 2.31, 2 Os 2.37-2.53, 2 Nb 2.42-2.44
Fe (0.2368, 0.1490, 0.0773)  1 Fe 2.31, 2 Os 2.37-2.53, 2 Nb 2.42-2.44
Fe (0.2368, 0.5879, 0.1596)  1 Fe 2.31, 2 Os 2.37-2.53, 2 Nb 2.42-2.44
Fe (0.2632, 0.3404, 0.9121)  1 Fe 2.31, 2 Os 2.37-2.53, 2 Nb 2.42-2.44
Fe (0.2632, 0.4227, 0.3510)  1 Fe 2.31, 2 Os 2.37-2.53, 2 Nb 2.42-2.44
Fe (0.3404, 0.9121, 0.2632)  1 Fe 2.31, 2 Os 2.37-2.53, 2 Nb 2.42-2.44
Fe (0.3404, 0.9283, 0.0773)  1 Fe 2.31, 2 Os 2.37-2.53, 2 Nb 2.42-2.44
Fe (0.3510, 0.2632, 0.4227)  1 Fe 2.31, 2 Os 2.37-2.53, 2 Nb 2.42-2.44
Fe (0.3510, 0.5879, 0.9283)  1 Fe 2.31, 2 Os 2.37-2.53, 2 Nb 2.42-2.44
Fe (0.4121, 0.0717, 0.6490)  1 Fe 2.31, 2 Os 2.37-2.53, 2 Nb 2.42-2.44
Fe (0.4121, 0.8404, 0.7632)  1 Fe 2.31, 2 Os 2.37-2.53, 2 Nb 2.42-2.44
Fe (0.4227, 0.3510, 0.2632)  1 Fe 2.31, 2 Os 2.37-2.53, 2 Nb 2.42-2.44
Fe (0.4227, 0.5717, 0.1596)  1 Fe 2.31, 2 Os 2.37-2.53, 2 Nb 2.42-2.44
Fe (0.4283, 0.0879, 0.8510)  1 Fe 2.31, 2 Os 2.37-2.53, 2 Nb 2.42-2.44
Fe (0.4283, 0.8404, 0.5773)  1 Fe 2.31, 2 Os 2.37-2.53, 2 Nb 2.42-2.44
Fe (0.5717, 0.1596, 0.4227)  1 Fe 2.31, 2 Os 2.37-2.53, 2 Nb 2.42-2.44
Fe (0.5717, 0.9121, 0.1490)  1 Fe 2.31, 2 Os 2.37-2.53, 2 Nb 2.42-2.44
Fe (0.5773, 0.4283, 0.8404)  1 Fe 2.31, 2 Os 2.37-2.53, 2 Nb 2.42-2.44
Fe (0.5773, 0.6490, 0.7368)  1 Fe 2.31, 2 Os 2.37-2.53, 2 Nb 2.42-2.44
Fe (0.5879, 0.1596, 0.2368)  1 Fe 2.31, 2 Os 2.37-2.53, 2 Nb 2.42-2.44
Fe (0.5879, 0.9283, 0.3510)  1 Fe 2.31, 2 Os 2.37-2.53, 2 Nb 2.42-2.44
Fe (0.6490, 0.4121, 0.0717)  1 Fe 2.31, 2 Os 2.37-2.53, 2 Nb 2.42-2.44
Fe (0.6490, 0.7368, 0.5773)  1 Fe 2.31, 2 Os 2.37-2.53, 2 Nb 2.42-2.44
Fe (0.6596, 0.0717, 0.9227)  1 Fe 2.31, 2 Os 2.37-2.53, 2 Nb 2.42-2.44
Fe (0.6596, 0.0879, 0.7368)  1 Fe 2.31, 2 Os 2.37-2.53, 2 Nb 2.42-2.44
Fe (0.7368, 0.5773, 0.6490)  1 Fe 2.31, 2 Os 2.37-2.53, 2 Nb 2.42-2.44
Fe (0.7368, 0.6596, 0.0879)  1 Fe 2.31, 2 Os 2.37-2.53, 2 Nb 2.42-2.44
Fe (0.7632, 0.4121, 0.8404)  1 Fe 2.31, 2 Os 2.37-2.53, 2 Nb 2.42-2.44
Fe (0.7632, 0.8510, 0.9227)  1 Fe 2.31, 2 Os 2.37-2.53, 2 Nb 2.42-2.44
Fe (0.8404, 0.5773, 0.4283)  1 Fe 2.31, 2 Os 2.37-2.53, 2 Nb 2.42-2.44
Fe (0.8404, 0.7632, 0.4121)  1 Fe 2.31, 2 Os 2.37-2.53, 2 Nb 2.42-2.44
Fe (0.8510, 0.4283, 0.0879)  1 Fe 2.31, 2 Os 2.37-2.53, 2 Nb 2.42-2.44
Fe (0.8510, 0.9227, 0.7632)  1 Fe 2.31, 2 Os 2.37-2.53, 2 Nb 2.42-2.44
Fe (0.9121, 0.1490, 0.5717)  1 Fe 2.31, 2 Os 2.37-2.53, 2 Nb 2.42-2.44
Fe (0.9121, 0.2632, 0.3404)  1 Fe 2.31, 2 Os 2.37-2.53, 2 Nb 2.42-2.44
Fe (0.9227, 0.6596, 0.0717)  1 Fe 2.31, 2 Os 2.37-2.53, 2 Nb 2.42-2.44
Fe (0.9227, 0.7632, 0.8510)  1 Fe 2.31, 2 Os 2.37-2.53, 2 Nb 2.42-2.44
Fe (0.9283, 0.0773, 0.3404)  1 Fe 2.31, 2 Os 2.37-2.53, 2 Nb 2.42-2.44
Fe (0.9283, 0.3510, 0.5879)  1 Fe 2.31, 2 Os 2.37-2.53, 2 Nb 2.42-2.44
Os (0.1250, 0.2500, 0.3750)  8 Fe 2.37-2.53
Os (0.1250, 0.3750, 0.7500)  8 Fe 2.37-2.53
Os (0.2500, 0.3750, 0.1250)  8 Fe 2.37-2.53
Os (0.2500, 0.8750, 0.6250)  8 Fe 2.37-2.53
Os (0.3750, 0.1250, 0.2500)  8 Fe 2.37-2.53
Os (0.3750, 0.7500, 0.1250)  8 Fe 2.37-2.53
Os (0.6250, 0.2500, 0.8750)  8 Fe 2.37-2.53
Os (0.6250, 0.8750, 0.7500)  8 Fe 2.37-2.53
Os (0.7500, 0.1250, 0.3750)  8 Fe 2.37-2.53
Os (0.7500, 0.6250, 0.8750)  8 Fe 2.37-2.53
Os (0.8750, 0.6250, 0.2500)  8 Fe 2.37-2.53
Os (0.8750, 0.7500, 0.6250)  8 Fe 2.37-2.53

Properties
- DOS at the Fermi energy: 1.350 states/eV/atom
- Formation enthalpy at 0 K: 0.9918 eV/atom



Entry 9:
Below is FeAs2HSe after structural relaxation, with properties calculated at the PBE level.

a b c (Å): 3.8589 3.8589 4.8991
angles (deg): 90.00 90.00 90.00
Closest atoms and distances in Å follow each position.
Fractional coordinates of all 5 atoms:
Fe (0.0000, 0.0000, 0.0000)  4 Se 2.73
As (0.0000, 0.5000, 0.5000)  2 H 1.93
As (0.5000, 0.0000, 0.5000)  2 H 1.93
H (0.5000, 0.5000, 0.5000)  4 As 1.93
Se (0.5000, 0.5000, 0.0000)  2 H 2.45, 4 Fe 2.73

Properties
- DOS at the Fermi energy: 0.967 states/eV/atom
- Energy above the most stable polymorph in this dataset: 0.000 eV/atom



Entry 10:
Below is V7Cr3Ru2 after structural relaxation, with properties calculated at the PBE level.

a b c (Å): 10.2965 10.2965 3.9990
angles (deg): 90.00 90.00 156.17
Closest atoms and distances in Å follow each position.
Fractional coordinates of all 12 atoms:
V (0.0000, 0.0000, 0.0000)  8 V 2.51-2.57
V (0.0750, 0.9250, 0.5000)  2 V 2.51, 2 Ru 2.51, 4 Cr 2.56-2.61
V (0.2867, 0.7133, 0.0000)  2 Cr 2.42, 2 Ru 2.47, 2 V 2.59
V (0.4282, 0.5718, 0.0000)  4 Cr 2.47-2.50, 2 V 2.57, 2 Ru 2.65
V (0.5718, 0.4282, 0.0000)  4 Cr 2.47-2.50, 2 V 2.57, 2 Ru 2.65
V (0.7133, 0.2867, 0.0000)  2 Cr 2.42, 2 Ru 2.47, 2 V 2.59
V (0.9250, 0.0750, 0.5000)  2 V 2.51, 2 Ru 2.51, 4 Cr 2.56-2.61
Cr (0.3540, 0.6460, 0.5000)  6 V 2.42-2.56
Cr (0.5000, 0.5000, 0.5000)  8 V 2.47-2.61
Cr (0.6460, 0.3540, 0.5000)  6 V 2.42-2.56
Ru (0.1504, 0.8496, 0.0000)  7 V 2.47-2.75
Ru (0.8496, 0.1504, 0.0000)  7 V 2.47-2.75

Properties
- DOS at the Fermi energy: 1.174 states/eV/atom
- Formation enthalpy at 0 K: 0.2083 eV/atom



Entry 11:
Below is SrPmHg4 after structural relaxation, with properties calculated at the PBE level.

a b c (Å): 5.8118 5.8118 8.2223
angles (deg): 110.58 110.58 40.26
Closest atoms and distances in Å follow each position.
Fractional coordinates of all 6 atoms:
Sr (0.0000, 0.0000, 0.0000)  10 Hg 3.35-3.40
Pm (0.0000, 0.0000, 0.5000)  10 Hg 3.28-3.34
Hg (0.3301, 0.3301, 0.6553)  5 Hg 3.20-3.43, 3 Pm 3.29-3.34, 2 Sr 3.40
Hg (0.3310, 0.3310, 0.1785)  2 Pm 3.28, 5 Hg 3.28-3.44, 3 Sr 3.35-3.40
Hg (0.6690, 0.6690, 0.8215)  2 Pm 3.28, 5 Hg 3.28-3.44, 3 Sr 3.35-3.40
Hg (0.6699, 0.6699, 0.3447)  5 Hg 3.20-3.43, 3 Pm 3.29-3.34, 2 Sr 3.40

Properties
- DOS at the Fermi energy: 0.411 states/eV/atom
- Formation enthalpy at 0 K: -0.4155 eV/atom
- Energy above the most stable polymorph in this dataset: 0.026 eV/atom



Entry 12:
Below is Sr6InAg2 after structural relaxation, with properties calculated at the PBE level.

a b c (Å): 9.6830 9.6830 9.6830
angles (deg): 113.43 110.62 104.49
Closest atoms and distances in Å follow each position.
Fractional coordinates of all 18 atoms:
Sr (0.0558, 0.2448, 0.8110)  1 Ag 3.32, 2 In 3.57-3.67
Sr (0.1803, 0.2809, 0.4612)  3 Ag 3.39-3.44, 1 In 3.59
Sr (0.1803, 0.7191, 0.8994)  3 Ag 3.39-3.44, 1 In 3.59
Sr (0.3331, 0.0302, 0.6970)  3 Ag 3.26-3.40
Sr (0.3331, 0.6361, 0.3030)  3 Ag 3.26-3.40
Sr (0.4339, 0.2448, 0.1890)  1 Ag 3.32, 2 In 3.57-3.67
Sr (0.5661, 0.7552, 0.8110)  1 Ag 3.32, 2 In 3.57-3.67
Sr (0.6669, 0.3639, 0.6970)  3 Ag 3.26-3.40
Sr (0.6669, 0.9698, 0.3030)  3 Ag 3.26-3.40
Sr (0.8197, 0.2809, 0.1006)  3 Ag 3.39-3.44, 1 In 3.59
Sr (0.8197, 0.7191, 0.5388)  3 Ag 3.39-3.44, 1 In 3.59
Sr (0.9442, 0.7552, 0.1890)  1 Ag 3.32, 2 In 3.57-3.67
In (0.0000, 0.0000, 0.0000)  8 Sr 3.57-3.59, 2 Ag 3.70
In (0.5000, 0.5000, 0.0000)  8 Sr 3.67-3.78
Ag (0.1227, 0.6227, 0.5000)  1 Ag 2.91, 2 Sr 3.26
Ag (0.3360, 0.0000, 0.3360)  8 Sr 3.32-3.44, 1 Ag 3.61, 1 In 3.70
Ag (0.6640, 0.0000, 0.6640)  8 Sr 3.32-3.44, 1 Ag 3.61, 1 In 3.70
Ag (0.8773, 0.3773, 0.5000)  1 Ag 2.91, 2 Sr 3.26

Properties
- DOS at the Fermi energy: 0.842 states/eV/atom
- Formation enthalpy at 0 K: -0.2519 eV/atom